(1)
Below is crystalline K2FePt2 at its relaxed geometry, with properties calculated at the PBE level.

Calculated density (Mg/m³): 8.16
Energy relative to the elements (meV per atom): 1212.0
Calculated volume (Å³ per atom): 21.3

```
data_K2FePt2
_chemical_formula_sum 'K4 Fe2 Pt4'
_space_group_name_H-M_alt 'I 4/m m m'
_space_group_IT_number 139
_space_group_name_Hall '-I 4 2'
_cell_length_a 3.7638
_cell_length_b 3.7638
_cell_length_c 15.0663
_cell_angle_alpha 90.00
_cell_angle_beta 90.00
_cell_angle_gamma 90.00
loop_
_atom_site_label
_atom_site_fract_x
_atom_site_fract_y
_atom_site_fract_z
_atom_site_occupancy
K1 0.0000 0.5000 0.2500 1
Fe1 0.0000 0.0000 0.0000 1
Pt1 0.0000 0.0000 0.4154 1
```

***

(2)
Below is crystalline BaSn2S at its relaxed geometry, with properties calculated at the PBE level.

Formation energy (no corrections) (eV/atom): -0.400
Calculated density (Mg/m³): 5.15
Calculated volume (Å³ per atom): 32.8

```
data_BaSn2S
_chemical_formula_sum 'Ba4 Sn8 S4'
_space_group_name_H-M_alt 'I -4 2 d'
_space_group_IT_number 122
_space_group_name_Hall 'I -4 2bw'
_cell_length_a 9.2800
_cell_length_b 9.2800
_cell_length_c 6.0900
_cell_angle_alpha 90.00
_cell_angle_beta 90.00
_cell_angle_gamma 90.00
loop_
_atom_site_label
_atom_site_fract_x
_atom_site_fract_y
_atom_site_fract_z
_atom_site_occupancy
Ba1 0.0000 0.0000 0.0000 1
Sn1 0.1828 0.2500 0.6250 1
S1 0.0000 0.0000 0.5000 1
```

***

(3)
Below is crystalline LaInCo2Ag at its relaxed geometry, with properties calculated at the PBE level.

Calculated density (Mg/m³): 6.73
Energy relative to the elements (meV per atom): 614.0
Calculated volume (Å³ per atom): 23.7

```
data_LaInCo2Ag
_chemical_formula_sum 'La1 In1 Co2 Ag1'
_space_group_name_H-M_alt 'P 4/m m m'
_space_group_IT_number 123
_space_group_name_Hall '-P 4 2'
_cell_length_a 4.8554
_cell_length_b 4.8554
_cell_length_c 5.0171
_cell_angle_alpha 90.00
_cell_angle_beta 90.00
_cell_angle_gamma 90.00
loop_
_atom_site_label
_atom_site_fract_x
_atom_site_fract_y
_atom_site_fract_z
_atom_site_occupancy
La1 0.0000 0.0000 0.0000 1
In1 0.5000 0.5000 0.5000 1
Co1 0.0000 0.5000 0.5000 1
Ag1 0.5000 0.5000 0.0000 1
```

***

(4)
Below is crystalline Nd2Dy4Mg at its relaxed geometry, with properties calculated at the PBE level.

Calculated density (Mg/m³): 7.04
Energy relative to the elements (meV per atom): 309.0
Calculated volume (Å³ per atom): 32.5

```
data_Nd2Dy4Mg
_chemical_formula_sum 'Nd4 Dy8 Mg2'
_space_group_name_H-M_alt 'I -4 2 m'
_space_group_IT_number 121
_space_group_name_Hall 'I -4 2'
_cell_length_a 8.2314
_cell_length_b 8.2314
_cell_length_c 6.7073
_cell_angle_alpha 90.00
_cell_angle_beta 90.00
_cell_angle_gamma 90.00
loop_
_atom_site_label
_atom_site_fract_x
_atom_site_fract_y
_atom_site_fract_z
_atom_site_occupancy
Nd1 0.0000 0.5000 0.2500 1
Dy1 0.2029 0.2029 0.0757 1
Mg1 0.0000 0.0000 0.5000 1
```

***

(5)
Below is crystalline Ca2ZnFe at its relaxed geometry, with properties calculated at the PBE level.

Calculated density (Mg/m³): 3.65
Energy relative to the elements (meV per atom): 354.1
Calculated volume (Å³ per atom): 22.9

```
data_Ca2ZnFe
_chemical_formula_sum 'Ca4 Zn2 Fe2'
_space_group_name_H-M_alt 'I -4 m 2'
_space_group_IT_number 119
_space_group_name_Hall 'I -4 -2'
_cell_length_a 4.4424
_cell_length_b 4.4424
_cell_length_c 9.2983
_cell_angle_alpha 90.00
_cell_angle_beta 90.00
_cell_angle_gamma 90.00
loop_
_atom_site_label
_atom_site_fract_x
_atom_site_fract_y
_atom_site_fract_z
_atom_site_occupancy
Ca1 0.0000 0.0000 0.0000 1
Ca2 0.0000 0.5000 0.2500 1
Zn1 0.0000 0.0000 0.5000 1
Fe1 0.0000 0.5000 0.7500 1
```

***

(6)
Below is crystalline CdPbAu5 at its relaxed geometry, with properties calculated at the PBE level.

Calculated density (Mg/m³): 14.47
Energy relative to the elements (meV per atom): -33.4
Calculated volume (Å³ per atom): 21.4

```
data_CdPbAu5
_chemical_formula_sum 'Cd1 Pb1 Au5'
_space_group_name_H-M_alt 'P 4/m m m'
_space_group_IT_number 123
_space_group_name_Hall '-P 4 2'
_cell_length_a 4.1181
_cell_length_b 4.1181
_cell_length_c 8.8294
_cell_angle_alpha 90.00
_cell_angle_beta 90.00
_cell_angle_gamma 90.00
loop_
_atom_site_label
_atom_site_fract_x
_atom_site_fract_y
_atom_site_fract_z
_atom_site_occupancy
Cd1 0.0000 0.0000 0.0000 1
Pb1 0.5000 0.5000 0.5000 1
Au1 0.0000 0.5000 0.2453 1
Au2 0.5000 0.5000 0.0000 1
```

***

(7)
Below is crystalline NdSmZnOs at its relaxed geometry, with properties calculated at the PBE level.

Calculated density (Mg/m³): 10.05
Energy relative to the elements (meV per atom): -133.1
Calculated volume (Å³ per atom): 22.7

```
data_NdSmZnOs
_chemical_formula_sum 'Nd4 Sm4 Zn4 Os4'
_space_group_name_H-M_alt 'F -4 3 m'
_space_group_IT_number 216
_space_group_name_Hall 'F -4 2 3'
_cell_length_a 7.1389
_cell_length_b 7.1389
_cell_length_c 7.1389
_cell_angle_alpha 90.00
_cell_angle_beta 90.00
_cell_angle_gamma 90.00
loop_
_atom_site_label
_atom_site_fract_x
_atom_site_fract_y
_atom_site_fract_z
_atom_site_occupancy
Nd1 0.0000 0.0000 0.0000 1
Sm1 0.0000 0.0000 0.5000 1
Zn1 0.2500 0.2500 0.7500 1
Os1 0.2500 0.2500 0.2500 1
```

***

(8)
Below is crystalline NpNb2In at its relaxed geometry, with properties calculated at the PBE level.

Calculated density (Mg/m³): 11.22
Energy relative to the elements (meV per atom): 214.7
Calculated volume (Å³ per atom): 19.9

```
data_NpNb2In
_chemical_formula_sum 'Np1 Nb2 In1'
_space_group_name_H-M_alt 'P 4/m m m'
_space_group_IT_number 123
_space_group_name_Hall '-P 4 2'
_cell_length_a 4.6771
_cell_length_b 4.6771
_cell_length_c 3.6366
_cell_angle_alpha 90.00
_cell_angle_beta 90.00
_cell_angle_gamma 90.00
loop_
_atom_site_label
_atom_site_fract_x
_atom_site_fract_y
_atom_site_fract_z
_atom_site_occupancy
Np1 0.0000 0.0000 0.0000 1
Nb1 0.0000 0.5000 0.5000 1
In1 0.5000 0.5000 0.0000 1
```

***

(9)
Below is crystalline BaPt2F at its relaxed geometry, with properties calculated at the PBE level.

Formation energy (no corrections) (eV/atom): -0.025
Calculated density (Mg/m³): 10.78
Calculated volume (Å³ per atom): 21.0

```
data_BaPt2F
_chemical_formula_sum 'Ba4 Pt8 F4'
_space_group_name_H-M_alt 'F m -3 m'
_space_group_IT_number 225
_space_group_name_Hall '-F 4 2 3'
_cell_length_a 6.9572
_cell_length_b 6.9572
_cell_length_c 6.9572
_cell_angle_alpha 90.00
_cell_angle_beta 90.00
_cell_angle_gamma 90.00
loop_
_atom_site_label
_atom_site_fract_x
_atom_site_fract_y
_atom_site_fract_z
_atom_site_occupancy
Ba1 0.0000 0.0000 0.0000 1
Pt1 0.2500 0.2500 0.2500 1
F1 0.0000 0.0000 0.5000 1
```

***

(10)
Below is crystalline HgPPb2 at its relaxed geometry, with properties calculated at the PBE level.

Calculated density (Mg/m³): 9.75
Energy relative to the elements (meV per atom): 160.9
Calculated volume (Å³ per atom): 27.5

```
data_HgPPb2
_chemical_formula_sum 'Hg3 P3 Pb6'
_space_group_name_H-M_alt 'R 3 m'
_space_group_IT_number 160
_space_group_name_Hall 'R 3 -2"'
_cell_length_a 3.9777
_cell_length_b 3.9777
_cell_length_c 24.0966
_cell_angle_alpha 90.00
_cell_angle_beta 90.00
_cell_angle_gamma 120.00
loop_
_atom_site_label
_atom_site_fract_x
_atom_site_fract_y
_atom_site_fract_z
_atom_site_occupancy
Hg1 0.0000 0.0000 0.0000 1
P1 0.0000 0.0000 0.2646 1
Pb1 0.0000 0.0000 0.5337 1
Pb2 0.0000 0.0000 0.7573 1
```

***

(11)
Below is crystalline Li2PdO3 at its relaxed geometry, with properties calculated at the PBE level.

Formation energy (no corrections) (eV/atom): -1.275
Calculated density (Mg/m³): 4.92
Calculated volume (Å³ per atom): 9.5

```
data_Li2PdO3
_chemical_formula_sum 'Li32 Pd16 O48'
_space_group_name_H-M_alt 'F d d d'
_space_group_IT_number 70
_cell_length_a 5.9543
_cell_length_b 8.4898
_cell_length_c 17.9727
_cell_angle_alpha 90.00
_cell_angle_beta 90.00
_cell_angle_gamma 90.00
loop_
_space_group_symop_operation_xyz
'x,y,z'
'-x,-y,-z'
'-x+1/4,-y+1/4,z'
'x+1/4,y+1/4,-z'
'x,-y+1/4,-z+1/4'
'-x,y+1/4,z+1/4'
'-x+1/4,y,-z+1/4'
'x+1/4,-y,z+1/4'
'x,y+1/2,z+1/2'
'-x,-y+1/2,-z+1/2'
'-x+1/4,-y+3/4,z+1/2'
'x+1/4,y+3/4,-z+1/2'
'x,-y+3/4,-z+3/4'
'-x,y+3/4,z+3/4'
'-x+1/4,y+1/2,-z+3/4'
'x+1/4,-y+1/2,z+3/4'
'x+1/2,y,z+1/2'
'-x+1/2,-y,-z+1/2'
'-x+3/4,-y+1/4,z+1/2'
'x+3/4,y+1/4,-z+1/2'
'x+1/2,-y+1/4,-z+3/4'
'-x+1/2,y+1/4,z+3/4'
'-x+3/4,y,-z+3/4'
'x+3/4,-y,z+3/4'
'x+1/2,y+1/2,z'
'-x+1/2,-y+1/2,-z'
'-x+3/4,-y+3/4,z'
'x+3/4,y+3/4,-z'
'x+1/2,-y+3/4,-z+1/4'
'-x+1/2,y+3/4,z+1/4'
'-x+3/4,y+1/2,-z+1/4'
'x+3/4,-y+1/2,z+1/4'
loop_
_atom_site_label
_atom_site_fract_x
_atom_site_fract_y
_atom_site_fract_z
_atom_site_occupancy
Li1 0.1250 0.1250 0.0426 1
Li2 0.1250 0.1250 0.3754 1
Pd1 0.1250 0.1250 0.5418 1
O1 0.1098 0.3750 0.8750 1
O2 0.1177 0.3653 0.7119 1
```

***

(12)
Below is crystalline LuScCuIr at its relaxed geometry, with properties calculated at the PBE level.

Calculated density (Mg/m³): 10.88
Energy relative to the elements (meV per atom): -680.9
Calculated volume (Å³ per atom): 18.1

```
data_LuScCuIr
_chemical_formula_sum 'Lu4 Sc4 Cu4 Ir4'
_space_group_name_H-M_alt 'F -4 3 m'
_space_group_IT_number 216
_space_group_name_Hall 'F -4 2 3'
_cell_length_a 6.6215
_cell_length_b 6.6215
_cell_length_c 6.6215
_cell_angle_alpha 90.00
_cell_angle_beta 90.00
_cell_angle_gamma 90.00
loop_
_atom_site_label
_atom_site_fract_x
_atom_site_fract_y
_atom_site_fract_z
_atom_site_occupancy
Lu1 0.0000 0.0000 0.0000 1
Sc1 0.0000 0.0000 0.5000 1
Cu1 0.2500 0.2500 0.2500 1
Ir1 0.2500 0.2500 0.7500 1
```